HgW2O | PBE with a Hubbard U | relaxed

Summary:
Raw total energy in eV/atom: -3.492

Unit cell a=6.299 b=6.299 c=6.299 alpha=90.00 beta=90.00 gamma=90.00
Space group Fm-3m (No. 225)
Inequivalent atoms, fractional coordinates:
Hg: 0.000 0.000 0.000 [4 per cell]
W: 0.250 0.250 0.250 [8 per cell]
O: 0.000 0.000 0.500 [4 per cell]